No. 1
Entry from the Alexandria database: a geometry-optimized Ac2Al structure (PBE).

The structure in POSCAR format:
```
Ac2Al
1.0
3.7706 0.0000 -0.8711
-0.5608 7.2059 -2.4275
-0.1953 0.5188 7.7513
Ac Al
4 2
direct
0.6234 0.5582 0.2468
0.3435 0.9077 0.6870
0.6565 0.0923 0.3130
0.3766 0.4418 0.7532
0.9970 0.1992 0.9939
0.0030 0.8008 0.0061
```

Computed properties:
The calculation puts the formation energy at -0.39 eV/f.u. The total energy is -4.12 eV per atom. The calculation puts the density of states at the Fermi level at 6.574 states/eV/cell. The value obtained for the total magnetization is 0.000 μB per cell. The energy above the most stable polymorph in this dataset comes out at 0.0 kJ/mol of atoms.

***

No. 2
Entry from the Alexandria database: a geometry-optimized AcAl11 structure (PBE).

The structure in POSCAR format:
```
AcAl11
1.0
-4.3511 1.6674 -5.5417
-4.0635 -6.8021 -3.5860
-8.2077 1.7889 2.2526
Ac Al
2 22
direct
0.5000 0.0000 0.0000
0.2500 0.5000 0.5000
0.4338 0.8299 0.4161
0.6798 0.1701 0.5839
0.0000 0.0000 0.0000
0.7500 0.5000 0.5000
0.3750 0.7500 0.7500
0.8750 0.7500 0.2500
0.8750 0.2500 0.7500
0.8750 0.2500 0.2500
0.4338 0.4161 0.8299
0.0137 0.6701 0.9161
0.5999 0.3299 0.0839
0.6798 0.5839 0.1701
0.7363 0.5839 0.8299
0.1501 0.4161 0.1701
0.0702 0.3299 0.9161
0.3162 0.6701 0.0839
0.3162 0.0839 0.6701
0.7363 0.8299 0.5839
0.1501 0.1701 0.4161
0.0702 0.9161 0.3299
0.0137 0.9161 0.6701
0.5999 0.0839 0.3299
```

Computed properties:
The calculation puts the formation energy at -1.31 eV/f.u. The total energy is -3.88 eV per atom. The calculation puts the density of states at the Fermi level at 9.784 states/eV/cell. The value obtained for the total magnetization is 0.000 μB per cell.

***

No. 3
Entry from the Alexandria database: a geometry-optimized Ac2Al structure (PBE).

The structure in POSCAR format:
```
Ac2Al
1.0
-2.0391 0.8566 3.3014
2.8224 -1.7358 2.1936
2.9027 6.4099 -2.2618
Ac Al
2 1
direct
0.6404 0.6404 0.2807
0.3596 0.3596 0.7193
0.0000 0.0000 0.0000
```

Computed properties:
The calculation puts the formation energy at -0.37 eV/f.u. The total energy is -4.11 eV per atom. The calculation puts the density of states at the Fermi level at 4.054 states/eV/cell. The value obtained for the total magnetization is 0.000 μB per cell. The energy above the most stable polymorph in this dataset comes out at 0.4 kJ/mol of atoms.

***

No. 4
Entry from the Alexandria database: a geometry-optimized Ac5Al3 structure (PBE).

The structure in POSCAR format:
```
Ac5Al3
1.0
-6.2919 -5.2167 1.6620
1.2071 -3.7912 -7.3303
10.4044 -10.3050 7.0431
Ac Al
20 12
direct
0.8133 0.8390 0.6035
0.1867 0.8390 0.1035
0.1610 0.8133 0.3965
0.0000 0.5000 0.7226
0.8390 0.1867 0.3965
0.6867 0.6610 0.3965
0.6610 0.3133 0.6035
0.3390 0.6867 0.6035
0.0000 0.5000 0.2226
0.6610 0.6867 0.1035
0.6867 0.3390 0.8965
0.8390 0.8133 0.8965
0.3133 0.3390 0.3965
0.1867 0.1610 0.6035
0.8133 0.1610 0.1035
0.3133 0.6610 0.8965
0.3390 0.3133 0.1035
0.5000 0.0000 0.2774
0.1610 0.1867 0.8965
0.5000 0.0000 0.7774
0.6135 0.3865 0.2500
0.1135 0.8865 0.7500
0.3865 0.3865 0.7500
0.3865 0.6135 0.2500
0.8865 0.8865 0.2500
0.6135 0.6135 0.7500
0.0000 0.5000 0.5123
0.8865 0.1135 0.7500
0.5000 0.0000 0.4877
0.5000 0.0000 0.9877
0.1135 0.1135 0.2500
0.0000 0.5000 0.0123
```

Computed properties:
The calculation puts the formation energy at -1.70 eV/f.u. The total energy is -4.18 eV per atom. The calculation puts the density of states at the Fermi level at 29.108 states/eV/cell. The value obtained for the total magnetization is 0.000 μB per cell.